First-principles (PBE+U) data for a relaxed structure of CrO2, as listed in Alexandria.

Space group ... R-3m, No. 166
Energy ... -7.200 eV/atom
ρ ... 3.8 Mg/m³

Unit cell a=5.038 b=5.038 c=5.038 alpha=34.44 beta=34.44 gamma=34.44
Atoms (fractional coordinates):
Cr1 0.000 0.000 0.000
O1 0.399 0.399 0.399
O2 0.601 0.601 0.601